## Pm2HoZn5 (PBE-GGA)

Data for Pm2HoZn5 after structural relaxation.

abc: 7.997 7.997 7.997
angles: 144.69 144.69 50.80
Fractional coordinates of all 8 atoms:
Pm  0.232  0.232  0.000
Pm  0.768  0.768  0.000
Ho  0.500  0.500  0.000
Zn  0.000  0.000  0.000
Zn  0.110  0.610  0.500
Zn  0.390  0.890  0.500
Zn  0.610  0.110  0.500
Zn  0.890  0.390  0.500

Results
M_tot (μB/cell): 0.00
SG: I4/mmm (139)
DOS at the Fermi energy (states/eV/atom): 0.5632
ΔH_f (0 K) (eV/atom): -0.291